<i>
# SrCaAu | Alexandria via LeMat-Bulk | GGA-PBEsol | optimized geometry
# - total moment (μB/f.u.) = 0.00
# - DOS at the Fermi energy (states/eV per cell) = 9.739
data_SrCaAu
_cell_length_a 7.335
_cell_length_b 7.335
_cell_length_c 7.335
_cell_angle_alpha 90.00
_cell_angle_beta 90.00
_cell_angle_gamma 90.00
_space_group_name_H-M_alt 'F -4 3 m'
_space_group_IT_number 216
_space_group_name_Hall 'F -4 2 3'
loop_
_atom_site_label
_atom_site_type_symbol
_atom_site_fract_x
_atom_site_fract_y
_atom_site_fract_z
Sr1 Sr 0.000 0.000 0.000
Ca1 Ca 0.000 0.000 0.500
Au1 Au 0.250 0.250 0.250

=====

<ii>
# SrCaAu | Alexandria via LeMat-Bulk | GGA-PBEsol | optimized geometry
# - total moment (μB/f.u.) = 0.00
# - DOS at the Fermi energy (states/eV per cell) = 4.734
data_SrCaAu
_cell_length_a 3.729
_cell_length_b 3.729
_cell_length_c 13.385
_cell_angle_alpha 90.00
_cell_angle_beta 90.00
_cell_angle_gamma 90.00
_space_group_name_H-M_alt 'I 4 m m'
_space_group_IT_number 107
_space_group_name_Hall 'I 4 -2'
loop_
_atom_site_label
_atom_site_type_symbol
_atom_site_fract_x
_atom_site_fract_y
_atom_site_fract_z
Sr1 Sr 0.000 0.000 0.000
Ca1 Ca 0.000 0.000 0.740
Au1 Au 0.000 0.000 0.359

=====

Which of them is the least stable? Correct choice: <i>.

=====

<i>
# Ca2TcAu | Alexandria via LeMat-Bulk | GGA-PBEsol | optimized geometry
# - total moment (μB/f.u.) = 1.36
# - DOS at the Fermi energy (states/eV per cell) = 38.396
data_Ca2TcAu
_cell_length_a 6.974
_cell_length_b 6.974
_cell_length_c 6.974
_cell_angle_alpha 90.00
_cell_angle_beta 90.00
_cell_angle_gamma 90.00
_space_group_name_H-M_alt 'F m -3 m'
_space_group_IT_number 225
_space_group_name_Hall '-F 4 2 3'
loop_
_atom_site_label
_atom_site_type_symbol
_atom_site_fract_x
_atom_site_fract_y
_atom_site_fract_z
Ca1 Ca 0.250 0.250 0.250
Tc1 Tc 0.000 0.000 0.000
Au1 Au 0.000 0.000 0.500

=====

<ii>
# Ca2TcAu | Alexandria via LeMat-Bulk | GGA-PBEsol | optimized geometry
# - total moment (μB/f.u.) = 0.96
# - DOS at the Fermi energy (states/eV per cell) = 8.363
data_Ca2TcAu
_cell_length_a 3.3209
_cell_length_b 3.3209
_cell_length_c 27.1855
_cell_angle_alpha 90.00
_cell_angle_beta 90.00
_cell_angle_gamma 120.00
_space_group_name_H-M_alt 'R -3 m'
_space_group_IT_number 166
_space_group_name_Hall '-R 3 2"'
loop_
_atom_site_label
_atom_site_type_symbol
_atom_site_fract_x
_atom_site_fract_y
_atom_site_fract_z
Ca1 Ca 0.0000 0.0000 0.2478
Tc1 Tc 0.0000 0.0000 0.5000
Au1 Au 0.0000 0.0000 0.0000

=====

Which of them is the least stable? Correct choice: <ii>.

=====

<i>
# CaW2Au | Alexandria via LeMat-Bulk | GGA-PBEsol | optimized geometry
# - total moment (μB/f.u.) = 0.00
# - DOS at the Fermi energy (states/eV per cell) = 2.902
data_CaW2Au
_cell_length_a 2.803
_cell_length_b 5.190
_cell_length_c 5.005
_cell_angle_alpha 90.00
_cell_angle_beta 93.55
_cell_angle_gamma 90.00
_space_group_name_H-M_alt 'P 1 2/m 1'
_space_group_IT_number 10
loop_
_space_group_symop_operation_xyz
'x,y,z'
'-x,-y,-z'
'-x,y,-z'
'x,-y,z'
loop_
_atom_site_label
_atom_site_type_symbol
_atom_site_fract_x
_atom_site_fract_y
_atom_site_fract_z
Ca1 Ca 0.000 0.000 0.000
W1 W 0.356 0.500 0.751
Au1 Au 0.500 0.000 0.500

=====

<ii>
# CaW2Au | Alexandria via LeMat-Bulk | GGA-PBEsol | optimized geometry
# - total moment (μB/f.u.) = 0.00
# - DOS at the Fermi energy (states/eV per cell) = 7.003
data_CaW2Au
_cell_length_a 3.352
_cell_length_b 4.494
_cell_length_c 9.430
_cell_angle_alpha 90.00
_cell_angle_beta 90.00
_cell_angle_gamma 90.00
_space_group_name_H-M_alt 'C m m 2'
_space_group_IT_number 35
loop_
_space_group_symop_operation_xyz
'x,y,z'
'-x,-y,z'
'-x,y,z'
'x,-y,z'
'x+1/2,y+1/2,z'
'-x+1/2,-y+1/2,z'
'-x+1/2,y+1/2,z'
'x+1/2,-y+1/2,z'
loop_
_atom_site_label
_atom_site_type_symbol
_atom_site_fract_x
_atom_site_fract_y
_atom_site_fract_z
Ca1 Ca 0.000 0.000 0.000
W1 W 0.000 0.000 0.496
W2 W 0.000 0.500 0.276
Au1 Au 0.000 0.500 0.737

=====

<iii>
# CaW2Au | Alexandria via LeMat-Bulk | GGA-PBEsol | optimized geometry
# - total moment (μB/f.u.) = 0.00
# - DOS at the Fermi energy (states/eV per cell) = 13.555
data_CaW2Au
_cell_length_a 6.543
_cell_length_b 6.543
_cell_length_c 6.543
_cell_angle_alpha 90.00
_cell_angle_beta 90.00
_cell_angle_gamma 90.00
_space_group_name_H-M_alt 'F -4 3 m'
_space_group_IT_number 216
_space_group_name_Hall 'F -4 2 3'
loop_
_atom_site_label
_atom_site_type_symbol
_atom_site_fract_x
_atom_site_fract_y
_atom_site_fract_z
Ca1 Ca 0.000 0.000 0.000
W1 W 0.000 0.000 0.500
W2 W 0.250 0.250 0.750
Au1 Au 0.250 0.250 0.250

=====

Which of them is the least stable? Correct choice: <iii>.

=====

<i>
# Cd2AuCl | Alexandria via LeMat-Bulk | GGA-PBEsol | optimized geometry
# - total moment (μB/f.u.) = 0.00
# - DOS at the Fermi energy (states/eV per cell) = 1.354
data_Cd2AuCl
_cell_length_a 3.246
_cell_length_b 3.246
_cell_length_c 7.592
_cell_angle_alpha 90.00
_cell_angle_beta 90.00
_cell_angle_gamma 90.00
_space_group_name_H-M_alt 'P 4/m m m'
_space_group_IT_number 123
_space_group_name_Hall '-P 4 2'
loop_
_atom_site_label
_atom_site_type_symbol
_atom_site_fract_x
_atom_site_fract_y
_atom_site_fract_z
Cd1 Cd 0.000 0.000 0.226
Au1 Au 0.500 0.500 0.000
Cl1 Cl 0.500 0.500 0.500

=====

<ii>
# Cd2AuCl | Alexandria via LeMat-Bulk | GGA-PBEsol | optimized geometry
# - total moment (μB/f.u.) = 0.00
# - DOS at the Fermi energy (states/eV per cell) = 2.535
data_Cd2AuCl
_cell_length_a 3.4847
_cell_length_b 3.4847
_cell_length_c 23.9097
_cell_angle_alpha 90.00
_cell_angle_beta 90.00
_cell_angle_gamma 120.00
_space_group_name_H-M_alt 'R -3 m'
_space_group_IT_number 166
_space_group_name_Hall '-R 3 2"'
loop_
_atom_site_label
_atom_site_type_symbol
_atom_site_fract_x
_atom_site_fract_y
_atom_site_fract_z
Cd1 Cd 0.0000 0.0000 0.2468
Au1 Au 0.0000 0.0000 0.5000
Cl1 Cl 0.0000 0.0000 0.0000

=====

Which of them is the least stable? Correct choice: <i>.

=====

<i>
# CsCdAuS2 | Alexandria via LeMat-Bulk | GGA-PBEsol | optimized geometry
# - total moment (μB/f.u.) = 0.18
# - DOS at the Fermi energy (states/eV per cell) = 4.274
data_CsCdAuS2
_cell_length_a 4.865
_cell_length_b 4.865
_cell_length_c 6.301
_cell_angle_alpha 90.00
_cell_angle_beta 90.00
_cell_angle_gamma 90.00
_space_group_name_H-M_alt 'P 4/m m m'
_space_group_IT_number 123
_space_group_name_Hall '-P 4 2'
loop_
_atom_site_label
_atom_site_type_symbol
_atom_site_fract_x
_atom_site_fract_y
_atom_site_fract_z
Cs1 Cs 0.000 0.000 0.000
Cd1 Cd 0.500 0.500 0.000
Au1 Au 0.000 0.000 0.500
S1 S 0.000 0.500 0.500

=====

<ii>
# CsCdAuS2 | Alexandria via LeMat-Bulk | GGA-PBEsol | optimized geometry
# - total moment (μB/f.u.) = 0.00
# - DOS at the Fermi energy (states/eV per cell) = 0.000
data_CsCdAuS2
_cell_length_a 6.524
_cell_length_b 13.750
_cell_length_c 6.059
_cell_angle_alpha 90.00
_cell_angle_beta 90.00
_cell_angle_gamma 90.00
_space_group_name_H-M_alt 'C m m e'
_space_group_IT_number 67
_space_group_name_Hall '-C 2a 2'
loop_
_atom_site_label
_atom_site_type_symbol
_atom_site_fract_x
_atom_site_fract_y
_atom_site_fract_z
Cs1 Cs 0.000 0.250 0.232
Cd1 Cd 0.250 0.000 0.500
Au1 Au 0.000 0.000 0.000
S1 S 0.000 0.111 0.714

=====

Which of them is the least stable? Correct choice: <i>.

=====

<i>
# CdCuAu | Alexandria via LeMat-Bulk | GGA-PBEsol | optimized geometry
# - total moment (μB/f.u.) = 0.00
# - DOS at the Fermi energy (states/eV per cell) = 0.882
data_CdCuAu
_cell_length_a 4.4304
_cell_length_b 4.4304
_cell_length_c 2.8582
_cell_angle_alpha 90.00
_cell_angle_beta 90.00
_cell_angle_gamma 120.00
_space_group_name_H-M_alt 'P 3 m 1'
_space_group_IT_number 156
loop_
_space_group_symop_operation_xyz
'x,y,z'
'-y,x-y,z'
'-x+y,-x,z'
'-y,-x,z'
'-x+y,y,z'
'x,x-y,z'
loop_
_atom_site_label
_atom_site_type_symbol
_atom_site_fract_x
_atom_site_fract_y
_atom_site_fract_z
Cd1 Cd 0.0000 0.0000 0.0000
Cu1 Cu 0.6667 0.3333 0.5517
Au1 Au 0.3333 0.6667 0.4753

=====

<ii>
# CdCuAu | Alexandria via LeMat-Bulk | GGA-PBEsol | optimized geometry
# - total moment (μB/f.u.) = 0.00
# - DOS at the Fermi energy (states/eV per cell) = 1.977
data_CdCuAu
_cell_length_a 3.182
_cell_length_b 3.182
_cell_length_c 9.438
_cell_angle_alpha 90.00
_cell_angle_beta 90.00
_cell_angle_gamma 90.00
_space_group_name_H-M_alt 'I 4 m m'
_space_group_IT_number 107
_space_group_name_Hall 'I 4 -2'
loop_
_atom_site_label
_atom_site_type_symbol
_atom_site_fract_x
_atom_site_fract_y
_atom_site_fract_z
Cd1 Cd 0.000 0.000 0.000
Cu1 Cu 0.000 0.000 0.664
Au1 Au 0.000 0.000 0.311

=====

Which of them is the least stable? Correct choice: <i>.